Arrangement a

Computed, not measured: a relaxed structure of NpPaOs at the PBE-GGA level of DFT.

The value obtained for the magnetic moment is 3.6 μB per formula unit.

The structure belongs to space group I4mm (No. 107); the cell edges are 3.556, 3.556 and 9.603 Å and the angles 90.00°, 90.00° and 90.00°. The asymmetric unit holds Np at (0.000, 0.000, 0.000), Pa at (0.000, 0.000, 0.323) and Os at (0.000, 0.000, 0.662).

***

Arrangement b

Computed, not measured: a relaxed structure of NpPaOs at the PBE-GGA level of DFT.

The value obtained for the magnetic moment is 3.6 μB per formula unit.

The structure belongs to space group P3m1 (No. 156); the cell edges are 4.7350, 4.7350 and 3.0531 Å and the angles 90.00°, 90.00° and 120.00°. The asymmetric unit holds Np at (0.0000, 0.0000, 0.0000), Pa at (0.3333, 0.6667, 0.2826) and Os at (0.6667, 0.3333, 0.6386).

***

Which structure is the least stable? The one labeled arrangement a.

***

Arrangement a

Computed, not measured: a relaxed structure of PuNpOs at the PBE-GGA level of DFT.

The value obtained for the magnetic moment is 2.1 μB per formula unit.

The structure belongs to space group Cc (No. 9); the cell edges are 4.644, 4.704 and 10.141 Å and the angles 90.00°, 95.40° and 90.00°. The asymmetric unit holds Pu at (0.000, 0.198, 0.000), Np at (0.067, 0.200, 0.353) and Os at (0.035, 0.309, 0.680).

***

Arrangement b

Computed, not measured: a relaxed structure of PuNpOs at the PBE-GGA level of DFT.

The value obtained for the magnetic moment is 1.7 μB per formula unit.

The structure belongs to space group Pmma (No. 51); the cell edges are 6.161, 3.025 and 6.297 Å and the angles 90.00°, 90.00° and 90.00°. The asymmetric unit holds Pu at (0.250, 0.000, 0.183), Np at (0.250, 0.000, 0.801) and Os at (0.000, 0.500, 0.500).

***

Which structure is the least stable? The one labeled arrangement b.

***

Arrangement a

Computed, not measured: a relaxed structure of PuNpOs at the PBE-GGA level of DFT.

The value obtained for the magnetic moment is 2.0 μB per formula unit.

The structure belongs to space group P3m1 (No. 156); the cell edges are 4.6115, 4.6115 and 2.9111 Å and the angles 90.00°, 90.00° and 120.00°. The asymmetric unit holds Pu at (0.0000, 0.0000, 0.0000), Np at (0.6667, 0.3333, 0.2232) and Os at (0.3333, 0.6667, 0.6029).

***

Arrangement b

Computed, not measured: a relaxed structure of PuNpOs at the PBE-GGA level of DFT.

The value obtained for the magnetic moment is 2.4 μB per formula unit.

The structure belongs to space group I4mm (No. 107); the cell edges are 3.773, 3.773 and 8.143 Å and the angles 90.00°, 90.00° and 90.00°. The asymmetric unit holds Pu at (0.000, 0.000, 0.000), Np at (0.000, 0.000, 0.319) and Os at (0.000, 0.000, 0.655).

***

Arrangement c

Computed, not measured: a relaxed structure of PuNpOs at the PBE-GGA level of DFT.

The value obtained for the magnetic moment is 4.3 μB per formula unit.

The structure belongs to space group R-3m (No. 166, hexagonal axes); the cell edges are 4.4706, 4.4706 and 21.4063 Å and the angles 90.00°, 90.00° and 120.00°. The asymmetric unit holds Pu at (0.0000, 0.0000, 0.2036), Np at (0.0000, 0.0000, 0.3280) and Os at (0.0000, 0.0000, 0.0646).

***

Which structure is the least stable? The one labeled arrangement b.